No. 1
Here is crystalline Li3CuPd4 at its relaxed geometry from Alexandria via LeMat-Bulk. Energies are from GGA-PBE. Values from VASP.

* ΔE to the lowest computed polymorph: 97 meV per atom
* space group: No. 44
* magnetic moment: 0.00 μB/atom

```
&SYSTEM
  ibrav = 0, nat = 8, ntyp = 3
/
ATOMIC_SPECIES
Li 6.94 Li.upf
Cu 63.55 Cu.upf
Pd 106.42 Pd.upf
CELL_PARAMETERS angstrom
-2.616 4.416 2.450
2.616 -4.416 2.450
2.616 4.416 -2.450
ATOMIC_POSITIONS angstrom
Li 0.000 0.000 0.000
Li 0.000 2.242 1.185
Li 0.000 6.590 1.185
Cu 0.000 4.416 2.414
Pd 2.616 2.223 1.175
Pd 1.302 4.416 -0.027
Pd 1.314 0.000 2.423
Pd 0.000 2.193 3.625
```

=====

No. 2
Here is crystalline HfMgAl at its relaxed geometry from Alexandria via LeMat-Bulk. Energies are from GGA-PBE. Values from VASP.

* energy: -15.6 eV for the cell shown
* space group: No. 156
* magnetic moment: 0.00 μB/atom

```
&SYSTEM
  ibrav = 0, nat = 3, ntyp = 3
/
ATOMIC_SPECIES
Hf 178.49 Hf.upf
Mg 24.30 Mg.upf
Al 26.98 Al.upf
CELL_PARAMETERS angstrom
4.642 0.000 0.000
-2.321 4.020 0.000
0.000 0.000 3.136
ATOMIC_POSITIONS angstrom
Hf 0.000 0.000 0.000
Mg 2.321 1.340 1.565
Al 0.000 2.680 1.572
```

=====

No. 3
Here is crystalline La2ScTlO6 at its relaxed geometry from Alexandria via LeMat-Bulk. Energies are from GGA-PBE. Values from VASP.

* space group: No. 14
* magnetic moment: 0.00 μB/atom
* formation energy (no corrections): -2.777 eV/atom

```
&SYSTEM
  ibrav = 0, nat = 20, ntyp = 4
/
ATOMIC_SPECIES
La 138.91 La.upf
Sc 44.96 Sc.upf
Tl 204.38 Tl.upf
O 16.00 O.upf
CELL_PARAMETERS angstrom
5.771 0.000 0.000
0.000 6.018 0.000
-5.738 0.000 8.400
ATOMIC_POSITIONS angstrom
La -0.086 0.332 2.077
La -2.955 2.676 6.277
La 2.988 3.341 2.124
La 0.119 5.685 6.324
Sc 2.885 0.000 0.000
Sc 0.017 3.009 4.200
Tl -2.869 0.000 4.200
Tl 0.000 3.009 0.000
O -4.561 1.123 7.900
O -1.692 1.886 3.699
O -3.927 4.263 7.809
O -1.058 4.763 3.609
O -2.151 0.328 6.408
O 0.718 2.681 2.207
O -0.685 3.336 6.193
O 2.184 5.690 1.993
O 1.091 1.255 4.791
O 3.960 1.754 0.591
O 1.725 4.132 4.701
O 4.594 4.895 0.501
```

=====

No. 4
Here is crystalline NaZrAl at its relaxed geometry from Alexandria via LeMat-Bulk. Energies are from GGA-PBE. Values from VASP.

* ΔE to the lowest computed polymorph: 68 meV per atom
* space group: No. 2
* magnetic moment: 0.00 μB/atom

```
&SYSTEM
  ibrav = 0, nat = 6, ntyp = 3
/
ATOMIC_SPECIES
Na 22.99 Na.upf
Zr 91.22 Zr.upf
Al 26.98 Al.upf
CELL_PARAMETERS angstrom
3.009 0.000 0.000
0.002 5.156 0.000
0.013 1.191 8.438
ATOMIC_POSITIONS angstrom
Na 0.000 0.000 0.000
Na 1.506 2.578 0.000
Zr 0.006 1.829 3.178
Zr 3.019 4.519 5.260
Al 1.513 1.943 5.752
Al 1.511 4.404 2.687
```

=====

One value per record, in order, for DOS(E_F): 0.4003; 0.4337; 0.0000; 0.7996 states/eV/atom.